# Nd5DyRh4 PBE-GGA relaxed
# Calculated formation energy   -0.56 eV per atom
# Space-group type   No. 12
# DFT total energy   -6.341 eV/atom
# Total moment   0.00 μB/f.u.
data_Nd5DyRh4
_space_group_name_H-M_alt 'P 1'
_space_group_IT_number 1
_space_group_name_Hall 'P 1'
_cell_length_a 9.5690
_cell_length_b 9.5690
_cell_length_c 7.5455
_cell_angle_alpha 113.17
_cell_angle_beta 113.17
_cell_angle_gamma 25.80
loop_
_atom_site_label
_atom_site_type_symbol
_atom_site_fract_x
_atom_site_fract_y
_atom_site_fract_z
Nd1 Nd 0.0000 0.0000 0.0000
Nd2 Nd 0.3362 0.3362 0.0920
Nd3 Nd 0.3363 0.3363 0.5811
Nd4 Nd 0.6637 0.6637 0.4189
Nd5 Nd 0.6638 0.6638 0.9080
Dy1 Dy 0.0000 0.0000 0.5000
Rh1 Rh 0.1976 0.1976 0.6973
Rh2 Rh 0.5000 0.5000 0.2547
Rh3 Rh 0.5000 0.5000 0.7453
Rh4 Rh 0.8024 0.8024 0.3027